1.
Computed, not measured: a relaxed Be2TcPb crystal at the GGA-PBEsol level of DFT.

POSCAR file:
```
Be2TcPb
1.0
-1.691 1.924 4.163
1.691 -1.924 4.163
1.691 1.924 -4.163
Be Tc Pb
2 1 1
Direct
0.000 0.000 0.000
0.755 0.255 0.500
0.232 0.732 0.500
0.495 0.495 0.000
```

Formation energy = 0.387 eV/atom
Uncorrected energy = -5.430 eV per atom
V = 13.54 A^3/atom

=====

2.
Computed, not measured: a relaxed ScAlNi crystal at the GGA-PBEsol level of DFT.

POSCAR file:
```
ScAlNi
1.0
0.000 2.992 2.992
2.992 0.000 2.992
2.992 2.992 0.000
Sc Al Ni
1 1 1
Direct
0.000 0.000 0.000
0.250 0.250 0.250
0.500 0.500 0.500
```

Formation energy = 0.120 eV/atom
Uncorrected energy = -5.498 eV per atom
V = 17.85 A^3/atom

=====

3.
Computed, not measured: a relaxed Sc2PtPb crystal at the GGA-PBEsol level of DFT.

POSCAR file:
```
Sc2PtPb
1.0
3.088 -1.767 0.000
3.088 1.767 0.000
-2.007 0.000 8.192
Sc Pt Pb
2 1 1
Direct
0.234 0.234 0.203
0.766 0.766 0.797
0.500 0.500 0.000
0.000 0.000 0.500
```

Formation energy = -0.641 eV/atom
Uncorrected energy = -6.684 eV per atom
V = 22.34 A^3/atom

=====

4.
Computed, not measured: a relaxed MgCdCu2 crystal at the GGA-PBEsol level of DFT.

POSCAR file:
```
MgCdCu2
1.0
-1.631 2.138 4.326
1.631 -2.138 4.326
1.631 2.138 -4.326
Mg Cd Cu
1 1 2
Direct
0.000 0.000 0.000
0.725 0.225 0.500
0.261 0.761 0.500
0.473 0.473 0.000
```

Formation energy = -0.028 eV/atom
Uncorrected energy = -2.924 eV per atom
V = 15.09 A^3/atom